[1]
The following is a PBE-GGA calculation of an optimized crystal structure of Eu2DyGa, from Alexandria.

Calculated values
E_form	-0.15	eV per atom
energy relative to the lowest polymorph listed for this composition	0	meV per atom

Cell: 3.7226 3.7226 9.0222 Å, 90.00 90.00 90.00°
Each line ends with the local moment (μB).
Positions (direct):
1 Eu 0.0000 0.0000 0.7961  6.86
2 Eu 0.0000 0.0000 0.2039  6.86
3 Ga 0.5000 0.5000 0.0000  -0.03
4 Dy 0.5000 0.5000 0.5000  0.47

---

[2]
The following is a PBE-GGA calculation of an optimized crystal structure of EuDyGa4, from Alexandria.

Calculated values
E_form	-0.51	eV per atom

Cell: 5.5826 5.5826 5.5826 Å, 60.00 60.00 60.00°
Each line ends with the local moment (μB).
Positions (direct):
1 Eu 0.0000 0.0000 0.0000  6.82
2 Ga 0.6249 0.6249 0.1254  0.00
3 Ga 0.6249 0.1254 0.6249  0.00
4 Ga 0.6249 0.6249 0.6249  0.00
5 Ga 0.1254 0.6249 0.6249  0.00
6 Dy 0.2500 0.2500 0.2500  0.09

---

[3]
The following is a PBE-GGA calculation of an optimized crystal structure of Eu2DyGa, from Alexandria.

Calculated values
E_form	-0.14	eV per atom
energy relative to the lowest polymorph listed for this composition	15	meV per atom

Cell: 5.0858 4.7760 4.7760 Å, 90.00 90.00 90.00°
Each line ends with the local moment (μB).
Positions (direct):
1 Eu 0.0000 0.0000 0.5000  6.88
2 Eu 0.0000 0.5000 0.0000  6.88
3 Ga 0.5000 0.0000 0.0000  -0.06
4 Dy 0.5000 0.5000 0.5000  0.13

---

[4]
The following is a PBE-GGA calculation of an optimized crystal structure of Eu2DyGa, from Alexandria.

Calculated values
E_form	-0.02	eV per atom
energy relative to the lowest polymorph listed for this composition	130	meV per atom

Cell: 5.5226 5.5226 5.5222 Å, 60.00 60.00 60.00°
Each line ends with the local moment (μB).
Positions (direct):
1 Eu 0.2499 0.2499 0.2502  6.83
2 Eu 0.7501 0.7501 0.7498  6.83
3 Ga 0.0000 0.0000 0.0000  -0.04
4 Dy 0.5000 0.5000 0.5000  0.19

---

[5]
The following is a PBE-GGA calculation of an optimized crystal structure of EuDyGa2, from Alexandria.

Calculated values
E_form	-0.53	eV per atom
energy relative to the lowest polymorph listed for this composition	0	meV per atom

Cell: 3.6739 3.6739 7.2868 Å, 90.00 90.00 90.00°
Each line ends with the local moment (μB).
Positions (direct):
1 Eu 0.5000 0.5000 0.5000  6.86
2 Ga 0.0000 0.0000 0.7737  0.00
3 Ga 0.0000 0.0000 0.2263  0.00
4 Dy 0.5000 0.5000 0.0000  0.02

---

[6]
The following is a PBE-GGA calculation of an optimized crystal structure of EuDyGa2, from Alexandria.

Calculated values
E_form	-0.49	eV per atom
energy relative to the lowest polymorph listed for this composition	39	meV per atom

Cell: 5.1672 5.1672 5.1672 Å, 60.00 60.00 60.00°
Each line ends with the local moment (μB).
Positions (direct):
1 Eu 0.0000 0.0000 0.0000  6.78
2 Ga 0.2500 0.2500 0.2500  -0.01
3 Ga 0.7500 0.7500 0.7500  -0.01
4 Dy 0.5000 0.5000 0.5000  0.07